Entry 1:
# PBE SmTm2Cd6, optimized geometry
# N(E_F)   0.789 states/eV/atom
# Raw total energy   -2.4310 eV per atom
# V   219.5 Å³/cell
# Size of the total moment   0.00 μB per formula unit
# Calculated formation energy   -0.303 eV/atom
data_SmTm2Cd6
_chemical_formula_sum 'Sm1 Tm2 Cd6'
_cell_length_a 8.6276
_cell_length_b 8.6276
_cell_length_c 3.4052
_cell_angle_alpha 90.00
_cell_angle_beta 90.00
_cell_angle_gamma 120.00
_space_group_name_H-M_alt 'P 6/m m m'
_space_group_IT_number 191
_space_group_name_Hall '-P 6 2'
loop_
_atom_site_label
_atom_site_fract_x
_atom_site_fract_y
_atom_site_fract_z
_atom_site_occupancy
Sm1 0.0000 0.0000 0.0000 1
Tm1 0.3333 0.6667 0.0000 1
Cd1 0.0000 0.3359 0.5000 1

---

Entry 2:
# PBE NaCaHgBi, optimized geometry
# N(E_F)   0.081 states/eV/atom
# Raw total energy   -2.4506 eV per atom
# V   458.1 Å³/cell
# Size of the total moment   0.00 μB per formula unit
# Calculated formation energy   -0.575 eV/atom
data_NaCaHgBi
_chemical_formula_sum 'Na4 Ca4 Hg4 Bi4'
_cell_length_a 7.709
_cell_length_b 7.709
_cell_length_c 7.709
_cell_angle_alpha 90.00
_cell_angle_beta 90.00
_cell_angle_gamma 90.00
_space_group_name_H-M_alt 'F -4 3 m'
_space_group_IT_number 216
_space_group_name_Hall 'F -4 2 3'
loop_
_atom_site_label
_atom_site_fract_x
_atom_site_fract_y
_atom_site_fract_z
_atom_site_occupancy
Na1 0.000 0.000 0.000 1
Ca1 0.000 0.000 0.500 1
Hg1 0.250 0.250 0.250 1
Bi1 0.250 0.250 0.750 1

---

Entry 3:
# PBE FeIr6Ru4, optimized geometry
# N(E_F)   1.212 states/eV/atom
# Raw total energy   -8.6782 eV per atom
# V   662.5 Å³/cell
# Size of the total moment   2.56 μB per formula unit
# Calculated formation energy   0.297 eV/atom
data_FeIr6Ru4
_chemical_formula_sum 'Fe4 Ir24 Ru16'
_cell_length_a 4.435
_cell_length_b 7.361
_cell_length_c 20.295
_cell_angle_alpha 90.00
_cell_angle_beta 90.00
_cell_angle_gamma 90.00
_space_group_name_H-M_alt 'C m c m'
_space_group_IT_number 63
_space_group_name_Hall '-C 2c 2'
loop_
_atom_site_label
_atom_site_fract_x
_atom_site_fract_y
_atom_site_fract_z
_atom_site_occupancy
Fe1 0.000 0.167 0.250 1
Ir1 0.000 0.000 0.000 1
Ir2 0.000 0.170 0.750 1
Ir3 0.000 0.330 0.066 1
Ir4 0.000 0.498 0.188 1
Ru1 0.000 0.001 0.628 1
Ru2 0.000 0.331 0.567 1

---

Entry 4:
# PBE Na2GaAgF6, optimized geometry
# Raw total energy   -4.2473 eV per atom
# V   624.6 Å³/cell
# Size of the total moment   0.00 μB per formula unit
data_Na2GaAgF6
_chemical_formula_sum 'Na8 Ga4 Ag4 F24'
_cell_length_a 8.548
_cell_length_b 8.548
_cell_length_c 8.548
_cell_angle_alpha 90.00
_cell_angle_beta 90.00
_cell_angle_gamma 90.00
_space_group_name_H-M_alt 'F m -3 m'
_space_group_IT_number 225
_space_group_name_Hall '-F 4 2 3'
loop_
_atom_site_label
_atom_site_fract_x
_atom_site_fract_y
_atom_site_fract_z
_atom_site_occupancy
Na1 0.250 0.250 0.250 1
Ga1 0.000 0.000 0.000 1
Ag1 0.000 0.000 0.500 1
F1 0.000 0.000 0.224 1

---

Entry 5:
# PBE Cu3Si, optimized geometry
# N(E_F)   0.140 states/eV/atom
# Raw total energy   -4.4562 eV per atom
# V   102.9 Å³/cell
# Size of the total moment   0.00 μB per formula unit
data_Cu3Si
_chemical_formula_sum 'Cu6 Si2'
_cell_length_a 4.0305
_cell_length_b 4.0305
_cell_length_c 7.3134
_cell_angle_alpha 90.00
_cell_angle_beta 90.00
_cell_angle_gamma 120.00
_space_group_name_H-M_alt 'P 63/m m c'
_space_group_IT_number 194
_space_group_name_Hall '-P 6c 2c'
loop_
_atom_site_label
_atom_site_fract_x
_atom_site_fract_y
_atom_site_fract_z
_atom_site_occupancy
Cu1 0.0000 0.0000 0.2500 1
Cu2 0.3333 0.6667 0.0794 1
Si1 0.3333 0.6667 0.7500 1

---

Entry 6:
# PBE Pr5OsBr5, optimized geometry
# N(E_F)   0.823 states/eV/atom
# Raw total energy   -5.1092 eV per atom
# V   681.3 Å³/cell
# Size of the total moment   0.00 μB per formula unit
data_Pr5OsBr5
_chemical_formula_sum 'Pr10 Os2 Br10'
_cell_length_a 13.254
_cell_length_b 6.053
_cell_length_c 8.998
_cell_angle_alpha 90.00
_cell_angle_beta 109.32
_cell_angle_gamma 90.00
_space_group_name_H-M_alt 'C 1 2/m 1'
_space_group_IT_number 12
_space_group_name_Hall '-C 2y'
loop_
_atom_site_label
_atom_site_fract_x
_atom_site_fract_y
_atom_site_fract_z
_atom_site_occupancy
Pr1 0.000 0.000 0.000 1
Pr2 0.146 0.500 0.290 1
Pr3 0.166 0.500 0.867 1
Os1 0.000 0.500 0.000 1
Br1 0.000 0.500 0.500 1
Br2 0.145 0.000 0.786 1
Br3 0.172 0.000 0.356 1

---

Entry 7:
# PBE Li2LaSn2, optimized geometry
# N(E_F)   0.508 states/eV/atom
# Raw total energy   -3.7015 eV per atom
# V   244.3 Å³/cell
# Size of the total moment   0.13 μB per formula unit
# Calculated formation energy   -0.349 eV/atom
data_Li2LaSn2
_chemical_formula_sum 'Li4 La2 Sn4'
_cell_length_a 8.733
_cell_length_b 8.733
_cell_length_c 3.204
_cell_angle_alpha 90.00
_cell_angle_beta 90.00
_cell_angle_gamma 90.00
_space_group_name_H-M_alt 'P 4/m b m'
_space_group_IT_number 127
_space_group_name_Hall '-P 4 2ab'
loop_
_atom_site_label
_atom_site_fract_x
_atom_site_fract_y
_atom_site_fract_z
_atom_site_occupancy
Li1 0.140 0.360 0.000 1
La1 0.000 0.000 0.500 1
Sn1 0.151 0.651 0.500 1

---

Entry 8:
# PBE InCuSe2, optimized geometry
# N(E_F)   0.200 states/eV/atom
# Raw total energy   -3.8328 eV per atom
# V   101.9 Å³/cell
# Size of the total moment   0.00 μB per formula unit
data_InCuSe2
_chemical_formula_sum 'In1 Cu1 Se2'
_cell_length_a 4.1459
_cell_length_b 4.1459
_cell_length_c 6.8471
_cell_angle_alpha 90.00
_cell_angle_beta 90.00
_cell_angle_gamma 120.00
_space_group_name_H-M_alt 'P 3 m 1'
_space_group_IT_number 156
_space_group_name_Hall 'P 3 -2"'
loop_
_atom_site_label
_atom_site_fract_x
_atom_site_fract_y
_atom_site_fract_z
_atom_site_occupancy
In1 0.0000 0.0000 0.0000 1
Cu1 0.3333 0.6667 0.4425 1
Se1 0.0000 0.0000 0.3761 1
Se2 0.3333 0.6667 0.8158 1

---

Entry 9:
# PBE CsSrI2, optimized geometry
# N(E_F)   0.573 states/eV/atom
# Raw total energy   -2.5877 eV per atom
# V   168.3 Å³/cell
# Size of the total moment   0.53 μB per formula unit
data_CsSrI2
_chemical_formula_sum 'Cs1 Sr1 I2'
_cell_length_a 4.247
_cell_length_b 4.247
_cell_length_c 9.329
_cell_angle_alpha 90.00
_cell_angle_beta 90.00
_cell_angle_gamma 90.00
_space_group_name_H-M_alt 'P 4/m m m'
_space_group_IT_number 123
_space_group_name_Hall '-P 4 2'
loop_
_atom_site_label
_atom_site_fract_x
_atom_site_fract_y
_atom_site_fract_z
_atom_site_occupancy
Cs1 0.000 0.000 0.000 1
Sr1 0.000 0.000 0.500 1
I1 0.500 0.500 0.286 1

---

Entry 10:
# PBE Pm3Au, optimized geometry
# N(E_F)   1.138 states/eV/atom
# Raw total energy   -4.5034 eV per atom
# V   445.2 Å³/cell
# Size of the total moment   2.22 μB per formula unit
# Calculated formation energy   -0.121 eV/atom
data_Pm3Au
_chemical_formula_sum 'Pm12 Au4'
_cell_length_a 7.636
_cell_length_b 7.636
_cell_length_c 7.636
_cell_angle_alpha 90.00
_cell_angle_beta 90.00
_cell_angle_gamma 90.00
_space_group_name_H-M_alt 'F m -3 m'
_space_group_IT_number 225
_space_group_name_Hall '-F 4 2 3'
loop_
_atom_site_label
_atom_site_fract_x
_atom_site_fract_y
_atom_site_fract_z
_atom_site_occupancy
Pm1 0.000 0.000 0.000 1
Pm2 0.250 0.250 0.250 1
Au1 0.000 0.000 0.500 1

---

Entry 11:
# PBE HgSb4Pd15, optimized geometry
# N(E_F)   0.343 states/eV/atom
# Raw total energy   -5.0818 eV per atom
# V   333.6 Å³/cell
# Size of the total moment   0.00 μB per formula unit
data_HgSb4Pd15
_chemical_formula_sum 'Hg1 Sb4 Pd15'
_cell_length_a 4.063
_cell_length_b 4.063
_cell_length_c 20.208
_cell_angle_alpha 90.00
_cell_angle_beta 90.00
_cell_angle_gamma 90.00
_space_group_name_H-M_alt 'P 4/m m m'
_space_group_IT_number 123
_space_group_name_Hall '-P 4 2'
loop_
_atom_site_label
_atom_site_fract_x
_atom_site_fract_y
_atom_site_fract_z
_atom_site_occupancy
Hg1 0.000 0.000 0.000 1
Sb1 0.000 0.000 0.194 1
Sb2 0.000 0.000 0.399 1
Pd1 0.000 0.500 0.103 1
Pd2 0.000 0.500 0.302 1
Pd3 0.000 0.500 0.500 1
Pd4 0.500 0.500 0.000 1
Pd5 0.500 0.500 0.205 1
Pd6 0.500 0.500 0.401 1

---

Entry 12:
# PBE TbPaAu2, optimized geometry
# N(E_F)   1.361 states/eV/atom
# Raw total energy   -5.5089 eV per atom
# V   310.9 Å³/cell
# Size of the total moment   0.73 μB per formula unit
# Calculated formation energy   -0.339 eV/atom
data_TbPaAu2
_chemical_formula_sum 'Tb3 Pa3 Au6'
_cell_length_a 3.8507
_cell_length_b 3.8507
_cell_length_c 24.2113
_cell_angle_alpha 90.00
_cell_angle_beta 90.00
_cell_angle_gamma 120.00
_space_group_name_H-M_alt 'R -3 m'
_space_group_IT_number 166
_space_group_name_Hall '-R 3 2"'
loop_
_atom_site_label
_atom_site_fract_x
_atom_site_fract_y
_atom_site_fract_z
_atom_site_occupancy
Tb1 0.0000 0.0000 0.0000 1
Pa1 0.0000 0.0000 0.5000 1
Au1 0.0000 0.0000 0.2491 1